! PBE BeCdSn2As4, optimized geometry; values from VASP
&SYSTEM
  ibrav = 0, nat = 8, ntyp = 4
/
ATOMIC_SPECIES
As 74.92 As.upf
Be 9.01 Be.upf
Cd 112.41 Cd.upf
Sn 118.71 Sn.upf
CELL_PARAMETERS angstrom
-2.948 2.948 5.942
2.948 -2.948 5.942
2.948 2.948 -5.942
ATOMIC_POSITIONS crystal
As 0.142 0.641 0.055
As 0.913 0.858 0.500
As 0.359 0.413 0.500
As 0.587 0.087 0.945
Be 0.250 0.750 0.500
Cd 0.000 0.000 0.000
Sn 0.500 0.500 0.000
Sn 0.750 0.250 0.500
! E_tot in eV per cell: -32.4